1.
A plane-wave DFT calculation with PBE-GGA was carried out for BaTl2Tc after structural relaxation.

Values from the calculation:
The calculation puts the total moment at 0.98 μB/f.u. For the energy relative to the elements, the calculation gives 1.44 eV per formula unit.

a = 3.6294 Å, b = 3.6294 Å, c = 7.9970 Å
α = 90.00°, β = 90.00°, γ = 90.00°
Last column: nearest neighbours and their distance in Å.
Atoms (fractional coordinates):
Ba 0.0000 0.0000 0.0000  8 Tl 3.57, 4 Ba 3.63, 2 Tc 4.00
Tl 0.5000 0.5000 0.3108  4 Tc 2.98, 1 Tl 3.03
Tl 0.5000 0.5000 0.6892  4 Tc 2.98, 1 Tl 3.03
Tc 0.0000 0.0000 0.5000  8 Tl 2.98

2.
A plane-wave DFT calculation with PBE-GGA was carried out for U4AlGa15 after structural relaxation.

Values from the calculation:
The calculation puts the total moment at 9.65 μB/f.u. For the energy relative to the elements, the calculation gives -3.27 eV per formula unit.

a = 4.2633 Å, b = 4.2633 Å, c = 20.9339 Å
α = 90.00°, β = 90.00°, γ = 90.00°
Last column: nearest neighbours and their distance in Å.
Atoms (fractional coordinates):
U 0.0000 0.0000 0.1019  12 Ga 3.01-3.02
U 0.0000 0.0000 0.3071  12 Ga 3.02-3.03
U 0.0000 0.0000 0.6929  12 Ga 3.02-3.03
U 0.0000 0.0000 0.8981  12 Ga 3.01-3.02
Al 0.0000 0.0000 0.5000  12 Ga 2.85-3.01
Ga 0.0000 0.5000 0.0000  8 Ga 3.00-3.01, 4 U 3.02
Ga 0.0000 0.5000 0.2041  8 Ga 2.93-3.04, 4 U 3.02-3.03
Ga 0.0000 0.5000 0.4094  2 Al 2.85, 8 Ga 2.85-3.12, 2 U 3.02
Ga 0.0000 0.5000 0.5906  2 Al 2.85, 8 Ga 2.85-3.12, 2 U 3.02
Ga 0.0000 0.5000 0.7959  8 Ga 2.93-3.04, 4 U 3.02-3.03
Ga 0.5000 0.0000 0.0000  8 Ga 3.00-3.01, 4 U 3.02
Ga 0.5000 0.0000 0.2041  8 Ga 2.93-3.04, 4 U 3.02-3.03
Ga 0.5000 0.0000 0.4094  2 Al 2.85, 8 Ga 2.85-3.12, 2 U 3.02
Ga 0.5000 0.0000 0.5906  2 Al 2.85, 8 Ga 2.85-3.12, 2 U 3.02
Ga 0.5000 0.0000 0.7959  8 Ga 2.93-3.04, 4 U 3.02-3.03
Ga 0.5000 0.5000 0.1009  8 Ga 3.00-3.04, 4 U 3.01
Ga 0.5000 0.5000 0.3003  8 Ga 2.93-3.12, 4 U 3.02
Ga 0.5000 0.5000 0.5000  8 Ga 2.85, 4 Al 3.01
Ga 0.5000 0.5000 0.6997  8 Ga 2.93-3.12, 4 U 3.02
Ga 0.5000 0.5000 0.8991  8 Ga 3.00-3.04, 4 U 3.01

3.
A plane-wave DFT calculation with PBE-GGA was carried out for Cu2SnBr4 after structural relaxation.

Values from the calculation:
The calculated total energy is -21.42 eV per cell. The calculation puts the total moment at 0.00 μB/f.u.

a = 6.5674 Å, b = 6.5674 Å, c = 6.5674 Å
α = 104.64°, β = 104.64°, γ = 119.63°
Last column: nearest neighbours and their distance in Å.
Atoms (fractional coordinates):
Cu 0.2500 0.7500 0.5000  4 Br 2.48
Cu 0.7500 0.2500 0.5000  4 Br 2.48
Sn 0.0000 0.0000 0.0000  4 Br 2.95
Br 0.1578 0.6687 0.8264  2 Cu 2.48
Br 0.3313 0.1578 0.4891  2 Cu 2.48
Br 0.6687 0.8422 0.5109  2 Cu 2.48
Br 0.8422 0.3313 0.1736  2 Cu 2.48

4.
A plane-wave DFT calculation with PBE-GGA was carried out for LaPa3N6 after structural relaxation.

Values from the calculation:
The calculated total energy is -199.88 eV per cell. The calculation puts the total moment at 0.00 μB/f.u.

a = 9.3422 Å, b = 3.6051 Å, c = 9.4380 Å
α = 90.00°, β = 105.37°, γ = 90.00°
Last column: nearest neighbours and their distance in Å.
Atoms (fractional coordinates):
La 0.0719 0.2500 0.1849  5 N 2.51-2.80
La 0.9281 0.7500 0.8151  5 N 2.51-2.80
Pa 0.1701 0.2500 0.5837  6 N 2.25-2.39
Pa 0.3181 0.7500 0.9783  7 N 2.25-2.50
Pa 0.4714 0.2500 0.3226  6 N 2.24-2.39
Pa 0.5286 0.7500 0.6774  6 N 2.24-2.39
Pa 0.6819 0.2500 0.0217  7 N 2.25-2.50
Pa 0.8299 0.7500 0.4163  6 N 2.25-2.39
N 0.0722 0.7500 0.4205  3 Pa 2.25-2.39
N 0.1264 0.2500 0.9381  2 Pa 2.50, 3 La 2.51-2.63
N 0.2699 0.7500 0.7188  3 Pa 2.26-2.37
N 0.3079 0.7500 0.2201  3 Pa 2.31-2.39
N 0.4032 0.2500 0.5473  4 Pa 2.29-2.37
N 0.4505 0.2500 0.0801  4 Pa 2.24-2.37
N 0.5495 0.7500 0.9199  4 Pa 2.24-2.37
N 0.5968 0.7500 0.4527  4 Pa 2.29-2.37
N 0.6921 0.2500 0.7799  3 Pa 2.31-2.39
N 0.7301 0.2500 0.2812  3 Pa 2.26-2.37
N 0.8736 0.7500 0.0619  2 Pa 2.50, 3 La 2.51-2.63
N 0.9278 0.2500 0.5795  3 Pa 2.25-2.39